Material: CuSbPt
Method: DFT, PBE
State: relaxed

## Properties
Mass density   10.8 g/cm³
Energy relative to the elements, uncorrected   -233 meV/atom
Distance to the lowest polymorph of the same formula   0.013 eV per atom
Calculated total energy   -4.9863 eV/atom

```
CuSbPt
1.0
0.000 3.076 3.076
3.076 0.000 3.076
3.076 3.076 0.000
Cu Sb Pt
1 1 1
direct
0.000 0.000 0.000
0.500 0.500 0.500
0.250 0.250 0.250
```